Record 1
{"formula": "AcHoZn4", "functional": "PBE", "state": "relaxed", "ef_mev_per_atom": -263.3, "spacegroup": "No. 119", "lattice": [[0.6394, 1.6260, -3.8782], [-2.7164, -2.8349, -1.6364], [-4.8365, 5.5870, 3.8778]], "species": ["Ac", "Ho", "Zn", "Zn", "Zn", "Zn"], "fractional_positions": [[0.2500, 0.7500, 0.5000], [0.0000, 0.0000, 0.0000], [0.6604, 0.1604, 0.3209], [0.5779, 0.5779, 0.1558], [0.8396, 0.3396, 0.6791], [0.4221, 0.4221, 0.8442]]}



Record 2
{"formula": "Ho3InGe3", "functional": "PBE", "state": "relaxed", "ef_mev_per_atom": -530.9, "spacegroup": "No. 176", "lattice": [[5.8400, 0.0000, 0.0000], [0.0000, 8.6542, 0.0000], [0.0000, -4.3271, 7.4947]], "species": ["Ho", "Ho", "Ho", "Ho", "Ho", "Ho", "In", "In", "Ge", "Ge", "Ge", "Ge", "Ge", "Ge"], "fractional_positions": [[0.7500, 0.6906, 0.6397], [0.7500, 0.3603, 0.0509], [0.7500, 0.9491, 0.3094], [0.2500, 0.3094, 0.3603], [0.2500, 0.6397, 0.9491], [0.2500, 0.0509, 0.6906], [0.2500, 0.6667, 0.3333], [0.7500, 0.3333, 0.6667], [0.2500, 0.6929, 0.6522], [0.2500, 0.3478, 0.0407], [0.2500, 0.9593, 0.3071], [0.7500, 0.3071, 0.3478], [0.7500, 0.6522, 0.9593], [0.7500, 0.0407, 0.6929]]}



Record 3
{"formula": "Sr2Au", "functional": "PBE", "state": "relaxed", "ef_mev_per_atom": -474.3, "spacegroup": "No. 141", "lattice": [[-1.9408, 1.9408, 14.8929], [1.9408, -1.9408, 14.8929], [1.9408, 1.9408, -14.8929]], "species": ["Sr", "Sr", "Sr", "Sr", "Au", "Au"], "fractional_positions": [[0.5617, 0.5617, 0.0000], [0.1883, 0.6883, 0.5000], [0.4383, 0.4383, 0.0000], [0.3117, 0.8117, 0.5000], [0.0000, 0.0000, 0.0000], [0.7500, 0.2500, 0.5000]]}



Record 4
{"formula": "Pm2YPb9", "functional": "PBE", "state": "relaxed", "ef_mev_per_atom": -336.5, "spacegroup": "No. 123", "lattice": [[-1.4581, -2.8622, -3.7140], [4.6886, -0.8444, -1.1901], [0.1648, -11.6829, 8.9386]], "species": ["Pm", "Pm", "Y", "Pb", "Pb", "Pb", "Pb", "Pb", "Pb", "Pb", "Pb", "Pb"], "fractional_positions": [[0.0000, 0.0000, 0.3331], [0.0000, 0.0000, 0.6669], [0.0000, 0.0000, 0.0000], [0.5000, 0.5000, 0.0000], [0.5000, 0.5000, 0.3322], [0.5000, 0.5000, 0.6678], [0.5000, 0.0000, 0.1645], [0.5000, 0.0000, 0.5000], [0.5000, 0.0000, 0.8356], [0.0000, 0.5000, 0.1645], [0.0000, 0.5000, 0.5000], [0.0000, 0.5000, 0.8356]]}



Record 5
{"formula": "HoTcTe", "functional": "PBE", "state": "relaxed", "raw_formation_energy_kcal_per_mol_atoms": -10.6, "spacegroup": "No. 59", "lattice": [[3.4215, 0.9135, -2.6397], [2.0196, 5.0715, -3.0182], [-5.1020, -5.1335, 13.7808]], "species": ["Te", "Te", "Ho", "Ho", "Tc", "Tc"], "fractional_positions": [[0.7305, 0.3452, 0.4868], [0.6488, 0.3057, 0.9464], [0.5911, 0.7761, 0.4173], [0.7881, 0.8748, 0.0159], [0.6883, 0.5758, 0.7164], [0.6910, 0.0750, 0.7169]]}



Record 6
{"formula": "Sn3Mo", "functional": "PBE", "state": "relaxed", "ef_mev_per_atom": 524.4, "spacegroup": "No. 139", "e_above_lowest_polymorph_mev_per_atom": 393.3, "lattice": [[5.4099, -0.1004, 0.0000], [1.6292, 5.1597, 0.0000], [-3.5196, -2.5297, 3.2389]], "species": ["Sn", "Sn", "Sn", "Mo"], "fractional_positions": [[0.7500, 0.2500, 0.5000], [0.2500, 0.7500, 0.5000], [0.5000, 0.5000, 0.0000], [0.0000, 0.0000, 0.0000]]}



Record 7
{"formula": "CsMn3Br", "functional": "PBE", "state": "relaxed", "raw_formation_energy_kcal_per_mol_atoms": 28.7, "spacegroup": "No. 221", "e_above_lowest_polymorph_mev_per_atom": 0.0, "lattice": [[-0.4083, 4.5717, -2.2099], [-2.5963, 1.7174, 4.0324], [4.3639, 1.4494, 2.1923]], "species": ["Cs", "Mn", "Mn", "Mn", "Br"], "fractional_positions": [[0.5000, 0.5000, 0.5000], [0.0000, 0.5000, 0.0000], [0.0000, 0.0000, 0.5000], [0.5000, 0.0000, 0.0000], [0.0000, 0.0000, 0.0000]]}



Record 8
{"formula": "YSnBi", "functional": "PBE", "state": "relaxed", "ef_mev_per_atom": -431.7, "spacegroup": "No. 139", "e_above_lowest_polymorph_mev_per_atom": 171.2, "lattice": [[4.1342, 0.0000, 0.0000], [0.0000, 4.1342, 0.0000], [-2.0671, -2.0671, 11.0127]], "species": ["Bi", "Bi", "Y", "Y", "Sn", "Sn"], "fractional_positions": [[0.0712, 0.0712, 0.1424], [0.9288, 0.9288, 0.8576], [0.6301, 0.6301, 0.2601], [0.3699, 0.3699, 0.7399], [0.7792, 0.7792, 0.5584], [0.2208, 0.2208, 0.4416]]}



no.,VASP energy (Ry per atom)
1,-0.1882
2,-0.3574
3,-0.1976
4,-0.3269
5,-0.4769
6,-0.3811
7,-0.3499
8,-0.3832